# 1
TmPuZnGa | Alexandria | GGA-PBE | relaxed; formation energy = -311 meV per atom; magnetization = 5.945 μB per formula unit; total energy = -6.0872 eV/atom; space-group type = F-43m, No. 216; density of states at the Fermi level = 6.5 states/eV per cell
1.0
5.0243 0.0000 0.0000
2.5121 4.3512 0.0000
2.5121 1.4504 4.1023
Ga Tm Zn Pu
1 1 1 1
direct
0.2500 0.2500 0.2500 Ga
0.5000 0.5000 0.5000 Tm
0.7500 0.7500 0.7500 Zn
0.0000 0.0000 0.0000 Pu

# 2
MoIr2Ru | Alexandria | GGA-PBE | relaxed; formation energy = -116 meV per atom; ΔE to the lowest computed polymorph = 132.8 meV per atom; magnetization = 0.000 μB per formula unit; total energy = -9.5728 eV/atom; space-group type = Cm, No. 8; density of states at the Fermi level = 4.2 states/eV per cell
1.0
-1.5704 0.5091 4.4583
-2.7851 -1.7244 3.4455
3.1753 -2.7544 2.2658
Ir Ru Mo
2 1 1
direct
0.2493 0.2493 0.2524 Ir
0.0011 0.0011 0.9927 Ir
0.7488 0.7488 0.7568 Ru
0.5007 0.5007 0.4981 Mo

# 3
CaHgPO2 | Alexandria | GGA-PBE | relaxed; E_form (uncorrected) = -0.0916 eV/atom; ΔE to the lowest computed polymorph = 34.9 meV per atom; magnetization = 2.859 μB per formula unit; total energy = -3.6176 eV/atom; space-group type = P4/mmm, No. 123; density of states at the Fermi level = 5.0 states/eV per cell
1.0
-0.5126 3.0379 -2.9518
-3.4696 -2.0068 -1.4628
-3.5378 3.2390 3.9477
Hg P Ca O
1 1 1 2
direct
0.5000 0.5000 0.5000 Hg
0.0000 0.0000 0.5000 P
0.0000 0.0000 0.0000 Ca
0.5000 0.0000 0.0000 O
0.0000 0.5000 0.0000 O

# 4
ScTl3As2O8 | Alexandria | GGA-PBE | relaxed; E_form (uncorrected) = -1.5402 eV/atom; magnetization = 0.000 μB per formula unit; total energy = -5.9970 eV/atom; space-group type = P-3m1, No. 164; density of states at the Fermi level = 0.0 states/eV per cell
1.0
5.8015 0.0000 0.0000
-2.9008 5.0243 0.0000
0.0000 0.0000 8.1488
Tl O Sc As
3 8 1 2
direct
0.0000 0.0000 0.0000 Tl
0.6667 0.3333 0.2473 Tl
0.3333 0.6667 0.7527 Tl
0.8293 0.1707 0.6526 O
0.1707 0.8293 0.3474 O
0.6586 0.8293 0.3474 O
0.1707 0.3414 0.3474 O
0.3414 0.1707 0.6526 O
0.6667 0.3333 0.9304 O
0.8293 0.6586 0.6526 O
0.3333 0.6667 0.0696 O
0.0000 0.0000 0.5000 Sc
0.6667 0.3333 0.7225 As
0.3333 0.6667 0.2775 As

# 5
La2Pm12Y5 | Alexandria | GGA-PBE | relaxed; formation energy = 121 meV per atom; ΔE to the lowest computed polymorph = 0.0 meV per atom; magnetization = 0.000 μB per formula unit; total energy = -5.0990 eV/atom; space-group type = C2/m, No. 12; density of states at the Fermi level = 26.3 states/eV per cell
1.0
10.0952 0.0000 0.0000
-5.0476 8.1448 -0.3984
0.0000 0.4219 7.9981
Pm Y La
12 5 2
direct
0.9605 0.3853 0.2070 Pm
0.1671 0.7879 0.3883 Pm
0.8329 0.2121 0.6117 Pm
0.0395 0.6147 0.7930 Pm
0.5506 0.1012 0.2915 Pm
0.4494 0.8988 0.7085 Pm
0.6208 0.7879 0.3883 Pm
0.5752 0.6147 0.7930 Pm
0.4248 0.3853 0.2070 Pm
0.3792 0.2121 0.6117 Pm
0.1638 0.3276 0.8772 Pm
0.8362 0.6724 0.1228 Pm
0.0000 0.0000 0.5000 Y
0.2477 0.4954 0.5087 Y
0.7523 0.5046 0.4913 Y
0.6461 0.2922 0.9192 Y
0.3539 0.7078 0.0808 Y
0.2106 0.0000 0.0000 La
0.7894 0.0000 0.0000 La

# 6
Pm2SmSi6 | Alexandria | GGA-PBE | relaxed; E_form (uncorrected) = -0.5737 eV/atom; magnetization = 0.000 μB per formula unit; total energy = -5.7691 eV/atom; space-group type = P6/mmm, No. 191; density of states at the Fermi level = 6.8 states/eV per cell
1.0
-0.7679 -3.8354 -1.2503
6.5515 -1.9813 2.0539
-5.4595 -0.4043 4.5932
Si Pm Sm
6 2 1
direct
0.5000 0.0000 0.3329 Si
0.5000 0.0000 0.6671 Si
0.5000 0.3329 0.3329 Si
0.5000 0.6671 0.0000 Si
0.5000 0.6671 0.6671 Si
0.5000 0.3329 0.0000 Si
0.0000 0.3333 0.6667 Pm
0.0000 0.6667 0.3333 Pm
0.0000 0.0000 0.0000 Sm

# 7
Ce3SbN2 | Alexandria | GGA-PBE | relaxed; E_form (uncorrected) = -1.1439 eV/atom; ΔE to the lowest computed polymorph = 104.0 meV per atom; magnetization = 2.858 μB per formula unit; total energy = -7.5730 eV/atom; space-group type = Pmc2_1, No. 26; density of states at the Fermi level = 22.2 states/eV per cell
1.0
3.5238 0.0000 0.0000
0.0000 6.3892 0.0000
0.0000 0.0000 11.2125
N Ce Sb
4 6 2
direct
0.0000 0.5186 0.7475 N
0.5000 0.0222 0.5028 N
0.0000 0.0186 0.2525 N
0.5000 0.5222 0.4972 N
0.5000 0.1004 0.1137 Ce
0.0000 0.7571 0.5924 Ce
0.0000 0.2571 0.4076 Ce
0.5000 0.2759 0.6662 Ce
0.5000 0.7759 0.3338 Ce
0.5000 0.6004 0.8863 Ce
0.0000 0.0271 0.8672 Sb
0.0000 0.5271 0.1328 Sb

# 8
VRePd | Alexandria | GGA-PBE | relaxed; formation energy = 273 meV per atom; ΔE to the lowest computed polymorph = 267.2 meV per atom; magnetization = 0.000 μB per formula unit; total energy = -8.6472 eV/atom; space-group type = R-3m, No. 166; density of states at the Fermi level = 7.4 states/eV per cell
1.0
4.3559 0.0000 0.0000
2.1779 3.7723 0.0000
2.1779 1.2574 5.8869
V Pd Re
2 2 2
direct
0.7931 0.7931 0.6207 V
0.2069 0.2069 0.3793 V
0.3674 0.3674 0.8978 Pd
0.6326 0.6326 0.1022 Pd
0.9233 0.9233 0.2300 Re
0.0767 0.0767 0.7700 Re

# 9
ScZn2Tc | Alexandria | GGA-PBE | relaxed; formation energy = -77 meV per atom; ΔE to the lowest computed polymorph = 162.0 meV per atom; magnetization = 0.000 μB per formula unit; total energy = -4.8887 eV/atom; space-group type = Pm, No. 6; density of states at the Fermi level = 2.9 states/eV per cell
1.0
4.4309 0.0000 0.0000
0.0000 2.8305 0.0005
0.0000 0.4769 5.0754
Tc Zn Sc
1 2 1
direct
0.5000 0.7391 0.7745 Tc
0.0000 0.1122 0.9833 Zn
0.5000 0.1057 0.2556 Zn
0.0000 0.5430 0.4866 Sc

# 10
BaCaBr2 | Alexandria | GGA-PBE | relaxed; E_form (uncorrected) = -1.3890 eV/atom; ΔE to the lowest computed polymorph = 55.1 meV per atom; magnetization = 0.000 μB per formula unit; total energy = -3.2065 eV/atom; space-group type = Pmm2, No. 25; density of states at the Fermi level = 1.7 states/eV per cell
1.0
5.3878 0.0000 0.0000
0.0000 4.8683 -0.1196
0.0000 0.1684 6.8012
Ca Br Ba
1 2 1
direct
0.0000 0.3747 0.3702 Ca
0.5000 0.3749 0.1793 Br
0.0000 0.8750 0.1158 Br
0.5000 0.8754 0.8346 Ba

# 11
MgRePb2 | Alexandria | GGA-PBE | relaxed; formation energy = 722 meV per atom; magnetization = 0.555 μB per formula unit; total energy = -4.6432 eV/atom; space-group type = Immm, No. 71; density of states at the Fermi level = 2.8 states/eV per cell
1.0
5.7919 -0.0055 -0.0090
2.1885 5.3625 0.0090
-3.2366 -3.8012 2.9363
Re Pb Mg
1 2 1
direct
0.7500 0.2500 0.5000 Re
0.9816 0.9816 0.0000 Pb
0.5184 0.5184 0.0000 Pb
0.2500 0.7500 0.5000 Mg

# 12
PrGaCl4 | Alexandria | GGA-PBE | relaxed; E_form (uncorrected) = -1.7275 eV/atom; magnetization = 0.000 μB per formula unit; total energy = -4.2596 eV/atom; space-group type = P2_1/c, No. 14; density of states at the Fermi level = 0.0 states/eV per cell
1.0
7.4223 0.0000 0.0000
0.0000 10.2221 -2.1108
0.0000 0.3268 10.9362
Ga Cl Pr
4 16 4
direct
0.7403 0.5971 0.9248 Ga
0.7597 0.0971 0.9248 Ga
0.2597 0.4029 0.0752 Ga
0.2403 0.9029 0.0752 Ga
0.3821 0.0524 0.6713 Cl
0.9962 0.2992 0.8757 Cl
0.9666 0.1152 0.1437 Cl
0.6179 0.9476 0.3287 Cl
0.8821 0.4476 0.3287 Cl
0.4666 0.3848 0.8563 Cl
0.5038 0.7992 0.8757 Cl
0.5334 0.6152 0.1437 Cl
0.0334 0.8848 0.8563 Cl
0.4309 0.3170 0.4670 Cl
0.9309 0.1830 0.5330 Cl
0.1179 0.5524 0.6713 Cl
0.5691 0.6830 0.5330 Cl
0.0691 0.8170 0.4670 Cl
0.4962 0.2008 0.1243 Cl
0.0038 0.7008 0.1243 Cl
0.2788 0.7955 0.6745 Pr
0.7788 0.7045 0.3255 Pr
0.2212 0.2955 0.6745 Pr
0.7212 0.2045 0.3255 Pr